AsAu15 | OQMD via LeMat-Bulk | PBE | optimized geometry; raw total energy = -3.2786 eV per atom; V = 24.4 Å³/atom
1.0
5.002 0.000 0.000
0.000 33.120 0.000
-1.661 0.000 4.720
As Au
2 30
Direct
0.000 0.165 0.000 As
0.000 0.835 0.500 As
0.500 0.199 0.000 Au
0.000 0.248 0.000 Au
0.500 0.294 0.000 Au
0.000 0.340 0.000 Au
0.500 0.386 0.000 Au
0.000 0.431 0.000 Au
0.500 0.477 0.000 Au
0.000 0.523 0.000 Au
0.500 0.569 0.000 Au
0.000 0.614 0.000 Au
0.500 0.660 0.000 Au
0.000 0.706 0.000 Au
0.500 0.750 0.000 Au
0.000 0.801 0.000 Au
0.500 0.841 0.000 Au
0.500 0.159 0.500 Au
0.000 0.199 0.500 Au
0.500 0.250 0.500 Au
0.000 0.294 0.500 Au
0.500 0.340 0.500 Au
0.000 0.386 0.500 Au
0.500 0.431 0.500 Au
0.000 0.477 0.500 Au
0.500 0.522 0.500 Au
0.000 0.569 0.500 Au
0.500 0.614 0.500 Au
0.000 0.660 0.500 Au
0.500 0.706 0.500 Au
0.000 0.752 0.500 Au
0.500 0.801 0.500 Au

NdCoSi2 | OQMD via LeMat-Bulk | PBE | optimized geometry; raw total energy = -6.4316 eV per atom; V = 17.2 Å³/atom
1.0
0.000 0.000 4.064
4.148 0.000 0.000
2.074 8.177 0.000
Co Nd Si
2 2 4
Direct
0.750 0.319 0.363 Co
0.250 0.681 0.637 Co
0.250 0.893 0.214 Nd
0.750 0.107 0.786 Nd
0.750 0.457 0.087 Si
0.750 0.750 0.500 Si
0.250 0.250 0.500 Si
0.250 0.543 0.913 Si